Record 1
# Hg2OsAu | Alexandria | PBE | relaxed
data_Hg2OsAu
_chemical_formula_sum 'Hg8 Os4 Au4'
_space_group_name_H-M_alt 'I -4 2 d'
_space_group_IT_number 122
_space_group_name_Hall 'I -4 2bw'
_cell_length_a 4.077
_cell_length_b 4.077
_cell_length_c 19.684
_cell_angle_alpha 90.00
_cell_angle_beta 90.00
_cell_angle_gamma 90.00
loop_
_atom_site_label
_atom_site_fract_x
_atom_site_fract_y
_atom_site_fract_z
Hg1 0.240 0.250 0.125
Os1 0.000 0.000 0.000
Au1 0.000 0.000 0.500
# Distance to the lowest polymorph of the same formula ... 123.7 kJ/mol of formula units

***

Record 2
# Hg2OsAu | Alexandria | PBE | relaxed
data_Hg2OsAu
_chemical_formula_sum 'Hg2 Os1 Au1'
_space_group_name_H-M_alt 'P 4 m m'
_space_group_IT_number 99
_space_group_name_Hall 'P 4 -2'
_cell_length_a 2.943
_cell_length_b 2.943
_cell_length_c 8.909
_cell_angle_alpha 90.00
_cell_angle_beta 90.00
_cell_angle_gamma 90.00
loop_
_atom_site_label
_atom_site_fract_x
_atom_site_fract_y
_atom_site_fract_z
Hg1 0.000 0.000 0.000
Hg2 0.500 0.500 0.291
Os1 0.000 0.000 0.524
Au1 0.500 0.500 0.738
# Distance to the lowest polymorph of the same formula ... 30.7 kJ/mol of formula units

***

Record 3
HgOs2PbAu: relaxed, PBE.

Geometry as CIF:
```
data_HgOs2PbAu
_chemical_formula_sum 'Hg1 Os2 Pb1 Au1'
_space_group_name_H-M_alt 'P 4/m m m'
_space_group_IT_number 123
_space_group_name_Hall '-P 4 2'
_cell_length_a 5.049
_cell_length_b 5.049
_cell_length_c 5.503
_cell_angle_alpha 90.00
_cell_angle_beta 90.00
_cell_angle_gamma 90.00
loop_
_atom_site_label
_atom_site_fract_x
_atom_site_fract_y
_atom_site_fract_z
Hg1 0.000 0.000 0.000
Os1 0.000 0.500 0.500
Pb1 0.000 0.000 0.500
Au1 0.500 0.500 0.000
```

***

Record 4
HgOsPd2Au: relaxed, PBE.

Geometry as CIF:
```
data_HgOsPd2Au
_chemical_formula_sum 'Hg1 Os1 Pd2 Au1'
_space_group_name_H-M_alt 'P 4/m m m'
_space_group_IT_number 123
_space_group_name_Hall '-P 4 2'
_cell_length_a 4.967
_cell_length_b 4.967
_cell_length_c 5.036
_cell_angle_alpha 90.00
_cell_angle_beta 90.00
_cell_angle_gamma 90.00
loop_
_atom_site_label
_atom_site_fract_x
_atom_site_fract_y
_atom_site_fract_z
Hg1 0.000 0.000 0.000
Os1 0.500 0.500 0.000
Pd1 0.000 0.500 0.500
Au1 0.000 0.000 0.500
```

***

Record 5
TiHgOs2Au: relaxed, PBE.

Geometry as CIF:
```
data_TiHgOs2Au
_chemical_formula_sum 'Ti1 Hg1 Os2 Au1'
_space_group_name_H-M_alt 'P 4/m m m'
_space_group_IT_number 123
_space_group_name_Hall '-P 4 2'
_cell_length_a 4.926
_cell_length_b 4.926
_cell_length_c 4.875
_cell_angle_alpha 90.00
_cell_angle_beta 90.00
_cell_angle_gamma 90.00
loop_
_atom_site_label
_atom_site_fract_x
_atom_site_fract_y
_atom_site_fract_z
Ti1 0.000 0.000 0.000
Hg1 0.500 0.500 0.500
Os1 0.000 0.500 0.500
Au1 0.500 0.500 0.000
```

***

Record 6
# HgPAu2 | Alexandria | PBE | relaxed
data_HgPAu2
_chemical_formula_sum 'Hg2 P2 Au4'
_space_group_name_H-M_alt 'C m m m'
_space_group_IT_number 65
_space_group_name_Hall '-C 2 2'
_cell_length_a 5.780
_cell_length_b 9.650
_cell_length_c 2.836
_cell_angle_alpha 90.00
_cell_angle_beta 90.00
_cell_angle_gamma 90.00
loop_
_atom_site_label
_atom_site_fract_x
_atom_site_fract_y
_atom_site_fract_z
Hg1 0.000 0.000 0.000
P1 0.000 0.500 0.000
Au1 0.250 0.250 0.000
# Distance to the lowest polymorph of the same formula ... 68.1 kJ/mol of formula units

***

Record 7
# HgPAu2 | Alexandria | PBE | relaxed
data_HgPAu2
_chemical_formula_sum 'Hg1 P1 Au2'
_space_group_name_H-M_alt 'P 4 m m'
_space_group_IT_number 99
_space_group_name_Hall 'P 4 -2'
_cell_length_a 3.551
_cell_length_b 3.551
_cell_length_c 7.156
_cell_angle_alpha 90.00
_cell_angle_beta 90.00
_cell_angle_gamma 90.00
loop_
_atom_site_label
_atom_site_fract_x
_atom_site_fract_y
_atom_site_fract_z
Hg1 0.000 0.000 0.000
P1 0.500 0.500 0.456
Au1 0.000 0.000 0.406
Au2 0.500 0.500 0.786
# Distance to the lowest polymorph of the same formula ... 26.6 kJ/mol of formula units

***

Record 8
# HgPAu2 | Alexandria | PBE | relaxed
data_HgPAu2
_chemical_formula_sum 'Hg4 P4 Au8'
_space_group_name_H-M_alt 'F m -3 m'
_space_group_IT_number 225
_space_group_name_Hall '-F 4 2 3'
_cell_length_a 6.717
_cell_length_b 6.717
_cell_length_c 6.717
_cell_angle_alpha 90.00
_cell_angle_beta 90.00
_cell_angle_gamma 90.00
loop_
_atom_site_label
_atom_site_fract_x
_atom_site_fract_y
_atom_site_fract_z
Hg1 0.000 0.000 0.000
P1 0.000 0.000 0.500
Au1 0.250 0.250 0.250
# Distance to the lowest polymorph of the same formula ... 120.9 kJ/mol of formula units

***

Record 9
HgP2Au: relaxed, PBE.

Geometry as CIF:
```
data_HgP2Au
_chemical_formula_sum 'Hg1 P2 Au1'
_space_group_name_H-M_alt 'P 4/m m m'
_space_group_IT_number 123
_space_group_name_Hall '-P 4 2'
_cell_length_a 5.226
_cell_length_b 5.226
_cell_length_c 2.742
_cell_angle_alpha 90.00
_cell_angle_beta 90.00
_cell_angle_gamma 90.00
loop_
_atom_site_label
_atom_site_fract_x
_atom_site_fract_y
_atom_site_fract_z
Hg1 0.000 0.000 0.000
P1 0.000 0.500 0.500
Au1 0.500 0.500 0.000
```

***

Record 10
# HgPAu2 | Alexandria | PBE | relaxed
data_HgPAu2
_chemical_formula_sum 'Hg2 P2 Au4'
_space_group_name_H-M_alt 'I m m m'
_space_group_IT_number 71
_space_group_name_Hall '-I 2 2'
_cell_length_a 2.919
_cell_length_b 5.998
_cell_length_c 9.207
_cell_angle_alpha 90.00
_cell_angle_beta 90.00
_cell_angle_gamma 90.00
loop_
_atom_site_label
_atom_site_fract_x
_atom_site_fract_y
_atom_site_fract_z
Hg1 0.000 0.000 0.000
P1 0.000 0.000 0.500
Au1 0.000 0.500 0.228
# Distance to the lowest polymorph of the same formula ... 76.5 kJ/mol of formula units

***

Record 11
# HgP2Au2 | Alexandria | PBE | relaxed
data_HgP2Au2
_chemical_formula_sum 'Hg2 P4 Au4'
_space_group_name_H-M_alt 'I 4/m m m'
_space_group_IT_number 139
_space_group_name_Hall '-I 4 2'
_cell_length_a 4.645
_cell_length_b 4.645
_cell_length_c 9.231
_cell_angle_alpha 90.00
_cell_angle_beta 90.00
_cell_angle_gamma 90.00
loop_
_atom_site_label
_atom_site_fract_x
_atom_site_fract_y
_atom_site_fract_z
Hg1 0.000 0.000 0.000
P1 0.000 0.000 0.381
Au1 0.000 0.500 0.250
# Distance to the lowest polymorph of the same formula ... 0.0 kJ/mol of formula units

***

Record 12
HgP2Au: relaxed, PBE.

Geometry as CIF:
```
data_HgP2Au
_chemical_formula_sum 'Hg1 P2 Au1'
_space_group_name_H-M_alt 'P 4/m m m'
_space_group_IT_number 123
_space_group_name_Hall '-P 4 2'
_cell_length_a 3.473
_cell_length_b 3.473
_cell_length_c 8.016
_cell_angle_alpha 90.00
_cell_angle_beta 90.00
_cell_angle_gamma 90.00
loop_
_atom_site_label
_atom_site_fract_x
_atom_site_fract_y
_atom_site_fract_z
Hg1 0.000 0.000 0.000
P1 0.500 0.500 0.365
Au1 0.000 0.000 0.500
```

***

Record 13
Hg2PAu: relaxed, PBE.

Geometry as CIF:
```
data_Hg2PAu
_chemical_formula_sum 'Hg2 P1 Au1'
_space_group_name_H-M_alt 'P 4 m m'
_space_group_IT_number 99
_space_group_name_Hall 'P 4 -2'
_cell_length_a 3.338
_cell_length_b 3.338
_cell_length_c 9.488
_cell_angle_alpha 90.00
_cell_angle_beta 90.00
_cell_angle_gamma 90.00
loop_
_atom_site_label
_atom_site_fract_x
_atom_site_fract_y
_atom_site_fract_z
Hg1 0.000 0.000 0.000
Hg2 0.500 0.500 0.290
P1 0.000 0.000 0.585
Au1 0.500 0.500 0.667
```

***

Record 14
# HgPAu2 | Alexandria | PBE | relaxed
data_HgPAu2
_chemical_formula_sum 'Hg4 P4 Au8'
_space_group_name_H-M_alt 'I -4 2 d'
_space_group_IT_number 122
_space_group_name_Hall 'I -4 2bw'
_cell_length_a 5.178
_cell_length_b 5.178
_cell_length_c 14.690
_cell_angle_alpha 90.00
_cell_angle_beta 90.00
_cell_angle_gamma 90.00
loop_
_atom_site_label
_atom_site_fract_x
_atom_site_fract_y
_atom_site_fract_z
Hg1 0.000 0.000 0.000
P1 0.000 0.000 0.500
Au1 0.148 0.250 0.625
# Distance to the lowest polymorph of the same formula ... 0.0 kJ/mol of formula units

***

Record 15
HgPAu4: relaxed, PBE.

Geometry as CIF:
```
data_HgPAu4
_chemical_formula_sum 'Hg4 P4 Au16'
_space_group_name_H-M_alt 'F -4 3 m'
_space_group_IT_number 216
_space_group_name_Hall 'F -4 2 3'
_cell_length_a 7.830
_cell_length_b 7.830
_cell_length_c 7.830
_cell_angle_alpha 90.00
_cell_angle_beta 90.00
_cell_angle_gamma 90.00
loop_
_atom_site_label
_atom_site_fract_x
_atom_site_fract_y
_atom_site_fract_z
Hg1 0.000 0.000 0.000
P1 0.250 0.250 0.750
Au1 0.125 0.125 0.375
```

***

Result set for VASP energy: -2.867; -3.108; -3.470; -3.238; -4.365; -2.773; -2.880; -2.636; -2.981; -2.751; -3.246; -3.232; -2.084; -2.949; -2.745 eV/atom, one per record in the order listed.
Result set for magnetization: 3.30; 1.44; 3.13; 3.01; 0.00; 0.00; 0.00; 0.00; 0.00; 0.00; 0.00; 0.00; 0.00; 0.00; 0.00 Bohr magnetons per cell, one per record in the order listed.
Result set for energy of formation: 910; 669; 2479; 1801; 2422; 294; 186; 431; 618; 316; 289; 368; 239; 117; 392 meV per atom, one per record in the order listed.